VASP calculation (PBE) on a relaxed PrGd2Ir crystal.

Cell: 3.5367 3.5367 8.9833 Å, 90.00 90.00 90.00°
With the nearest neighbours (Å) after each atom.
Fractional coordinates of all 4 atoms:
Pr: 0.0000 0.0000 0.0000  4 Pr 3.54, 8 Gd 3.80
Gd: 0.5000 0.5000 0.3187  4 Ir 2.98, 1 Gd 3.26
Gd: 0.5000 0.5000 0.6813  4 Ir 2.98, 1 Gd 3.26
Ir: 0.0000 0.0000 0.5000  8 Gd 2.98

Summary:
**Energy above the most stable polymorph in this dataset**: 0.000 eV per atom
**Formation enthalpy at 0 K**: -8.829 kcal/mol of atoms
**Total energy**: -43.3 eV for the cell shown
**Volume**: 112.4 Å³/cell
**SG**: P4/mmm
**Fermi-level density of states**: 5.07 states/eV/cell